# FeP2C (PBE, optimized geometry)
# - Density: 4.428 g/cm3
# - Total DFT energy (no corrections): -6.945 eV per atom
# - Spin magnetization: 0.00 Bohr magnetons per cell
data_FeP2C
_space_group_name_H-M_alt 'I -4 2 d'
_space_group_IT_number 122
_space_group_name_Hall 'I -4 2bw'
_cell_length_a 4.886
_cell_length_b 4.886
_cell_length_c 8.156
_cell_angle_alpha 90.00
_cell_angle_beta 90.00
_cell_angle_gamma 90.00
loop_
_atom_site_label
_atom_site_type_symbol
_atom_site_fract_x
_atom_site_fract_y
_atom_site_fract_z
Fe1 Fe 0.000 0.000 0.000
P1 P 0.203 0.250 0.625
C1 C 0.000 0.000 0.500